[1]
Density functional theory data (PBE) for a relaxed YVIn2B crystal.

**Calculated volume**: 21.6 Å³/atom
**Final energy**: -5.1331 eV/atom
**M_tot**: 0.00 Bohr magnetons per cell

Cell: 5.068 5.068 4.211 Å, 90.00 90.00 90.00°
Space group P4/mmm (No. 123)
One atom of each set of equivalent atoms:
Y 0.000 0.000 0.000 x1
V 0.500 0.500 0.500 x1
In 0.000 0.500 0.500 x2
B 0.500 0.500 0.000 x1

[2]
Density functional theory data (PBE) for a relaxed Zr2VInB crystal.

**Calculated volume**: 18.3 Å³/atom
**Final energy**: -7.4072 eV/atom
**M_tot**: 1.26 Bohr magnetons per cell

Cell: 4.682 4.682 4.185 Å, 90.00 90.00 90.00°
Space group P4/mmm (No. 123)
One atom of each set of equivalent atoms:
Zr 0.000 0.500 0.000 x2
V 0.000 0.000 0.500 x1
In 0.500 0.500 0.500 x1
B 0.000 0.000 0.000 x1

[3]
Density functional theory data (PBE) for a relaxed InB3W crystal.

**Calculated volume**: 15.1 Å³/atom
**Energy above the most stable polymorph in this dataset**: 1.691 eV per atom
**M_tot**: 0.00 Bohr magnetons per cell

Cell: 4.227 4.227 4.227 Å, 90.00 90.00 90.00°
Space group Pm-3m (No. 221)
One atom of each set of equivalent atoms:
In 0.000 0.000 0.000 x1
B 0.000 0.000 0.500 x3
W 0.500 0.500 0.500 x1

- Among the records above, which one has the highest M_tot?
  Zr2VInB